Entry 1:
First-principles (PBE) data for a geometry-optimized CaYSiAg structure, as listed in the Alexandria database.

Properties
E_form (uncorrected) ... -432.5 meV per atom
DOS at the Fermi energy ... 6.9 states/eV/cell

Structure (CIF):
```
data_CaYSiAg
_chemical_formula_sum 'Ca4 Y4 Si4 Ag4'
_cell_length_a 7.192
_cell_length_b 7.192
_cell_length_c 7.192
_cell_angle_alpha 90.00
_cell_angle_beta 90.00
_cell_angle_gamma 90.00
_space_group_name_H-M_alt 'F -4 3 m'
_space_group_IT_number 216
_space_group_name_Hall 'F -4 2 3'
loop_
_atom_site_label
_atom_site_fract_x
_atom_site_fract_y
_atom_site_fract_z
Ca1 0.000 0.000 0.000
Y1 0.000 0.000 0.500
Si1 0.250 0.250 0.750
Ag1 0.250 0.250 0.250
```

Entry 2:
First-principles (PBE) data for a geometry-optimized Ca2Zn4Si3Ag structure, as listed in the Alexandria database.

Properties
E_form (uncorrected) ... -269.8 meV per atom
DOS at the Fermi energy ... 3.1 states/eV/cell

Structure (CIF):
```
data_Ca2Zn4Si3Ag
_chemical_formula_sum 'Ca2 Zn4 Si3 Ag1'
_cell_length_a 4.144
_cell_length_b 4.144
_cell_length_c 10.857
_cell_angle_alpha 90.00
_cell_angle_beta 90.00
_cell_angle_gamma 90.00
_space_group_name_H-M_alt 'P -4 m 2'
_space_group_IT_number 115
loop_
_space_group_symop_operation_xyz
'x,y,z'
'y,-x,-z'
'-x,-y,z'
'-y,x,-z'
'-x,y,z'
'-y,-x,-z'
'x,-y,z'
'y,x,-z'
loop_
_atom_site_label
_atom_site_fract_x
_atom_site_fract_y
_atom_site_fract_z
Ca1 0.000 0.500 0.244
Zn1 0.000 0.000 0.000
Zn2 0.000 0.500 0.643
Zn3 0.500 0.500 0.000
Si1 0.000 0.500 0.864
Si2 0.500 0.500 0.500
Ag1 0.000 0.000 0.500
```

Entry 3:
First-principles (PBE) data for a geometry-optimized CaZnSiAg2 structure, as listed in the Alexandria database.

Properties
E_form (uncorrected) ... 490.7 meV per atom
DOS at the Fermi energy ... 2.8 states/eV/cell

Structure (CIF):
```
data_CaZnSiAg2
_chemical_formula_sum 'Ca1 Zn1 Si1 Ag2'
_cell_length_a 4.809
_cell_length_b 4.809
_cell_length_c 5.406
_cell_angle_alpha 90.00
_cell_angle_beta 90.00
_cell_angle_gamma 90.00
_space_group_name_H-M_alt 'P 4/m m m'
_space_group_IT_number 123
_space_group_name_Hall '-P 4 2'
loop_
_atom_site_label
_atom_site_fract_x
_atom_site_fract_y
_atom_site_fract_z
Ca1 0.000 0.000 0.000
Zn1 0.000 0.000 0.500
Si1 0.500 0.500 0.000
Ag1 0.000 0.500 0.500
```

Entry 4:
First-principles (PBE) data for a geometry-optimized Ca2SmAg structure, as listed in the Alexandria database.

Properties
Energy relative to the elements ... -0.01 eV per atom
DOS at the Fermi energy ... 12.8 states/eV/cell

Structure (CIF):
```
data_Ca2SmAg
_chemical_formula_sum 'Ca6 Sm3 Ag3'
_cell_length_a 3.7755
_cell_length_b 3.7755
_cell_length_c 31.8791
_cell_angle_alpha 90.00
_cell_angle_beta 90.00
_cell_angle_gamma 120.00
_space_group_name_H-M_alt 'R 3 m'
_space_group_IT_number 160
_space_group_name_Hall 'R 3 -2"'
loop_
_atom_site_label
_atom_site_fract_x
_atom_site_fract_y
_atom_site_fract_z
Ca1 0.0000 0.0000 0.0000
Ca2 0.0000 0.0000 0.1939
Sm1 0.0000 0.0000 0.4308
Ag1 0.0000 0.0000 0.5968
```